Entry 1:
## MgIrWAu (PBE)

Data for an optimized crystal structure of MgIrWAu.

a b c (Å): 4.4837 4.4837 4.4837
angles (deg): 60.00 60.00 60.00
Positions (direct):
1 Au 0.0000 0.0000 0.0000
2 Ir 0.2500 0.2500 0.2500
3 Mg 0.7500 0.7500 0.7500
4 W 0.5000 0.5000 0.5000

Summary:
The excess energy over the best structure of this formula in the dataset comes out at 0.023 eV/atom. The calculation puts the theoretical density at 15562 kg/m3.


Entry 2:
## Tm2Ta (PBE)

Data for an optimized crystal structure of Tm2Ta.

a b c (Å): 5.9108 5.9108 5.9108
angles (deg): 60.00 60.00 60.00
Positions (direct):
1 Ta 0.0000 0.0000 0.0000
2 Ta 0.2500 0.2500 0.2500
3 Tm 0.6250 0.6250 0.1250
4 Tm 0.6250 0.1250 0.6250
5 Tm 0.1250 0.6250 0.6250
6 Tm 0.6250 0.6250 0.6250

Summary:
The excess energy over the best structure of this formula in the dataset comes out at 0.027 eV/atom. The calculation puts the theoretical density at 11800 kg/m3. As for the energy of formation: 0.933 eV per atom.


Entry 3:
## Dy2YHo3Bi2Os (PBE)

Data for an optimized crystal structure of Dy2YHo3Bi2Os.

a b c (Å): 4.2304 8.2866 8.2866
angles (deg): 120.01 90.00 90.00
Positions (direct):
1 Bi 0.5000 0.6668 0.3334
2 Bi 0.5000 0.3334 0.6668
3 Dy 0.5000 0.2345 0.0002
4 Dy 0.5000 0.0002 0.2345
5 Ho 0.0000 0.6135 0.0004
6 Ho 0.0000 0.3862 0.3862
7 Ho 0.0000 0.0004 0.6135
8 Os 0.0000 0.0011 0.0011
9 Y 0.5000 0.7639 0.7639

Summary:
Its total energy is -53.52 eV/f.u. The calculation puts the theoretical density at 10014 kg/m3.